First-principles (PBE) data for an optimized crystal structure of CaAc2Ag, as listed in the Alexandria database.

Values from the calculation:
- symmetry = No. 123
- offset from the most stable computed form (eV per formula unit) = 0.10
- ΔE_f (meV/atom) = -82
- M_tot (μB per formula unit) = 0.001

Cell: 4.005 4.005 9.354 Å, 90.00 90.00 90.00°
Positions (direct):
1 Ca 0.000 0.000 0.000
2 Ac 0.500 0.500 0.298
3 Ac 0.500 0.500 0.702
4 Ag 0.000 0.000 0.500

---

First-principles (PBE) data for an optimized crystal structure of Cs3Mg2TlF9, as listed in the Alexandria database.

Values from the calculation:
- symmetry = No. 164
- M_tot (μB per formula unit) = 0.347
- raw formation energy (eV/atom) = -2.842

Cell: 6.224 6.224 7.688 Å, 90.00 90.00 120.00°
Positions (direct):
1 Cs 0.000 0.000 0.000
2 Cs 0.333 0.667 0.665
3 Cs 0.667 0.333 0.335
4 Mg 0.333 0.667 0.147
5 Mg 0.667 0.333 0.853
6 Tl 0.000 0.000 0.500
7 F 0.000 0.500 0.000
8 F 0.182 0.364 0.310
9 F 0.182 0.818 0.310
10 F 0.364 0.182 0.690
11 F 0.500 0.000 0.000
12 F 0.500 0.500 0.000
13 F 0.636 0.818 0.310
14 F 0.818 0.182 0.690
15 F 0.818 0.636 0.690

---

Which value of M_tot does entry 2 give?
0.347 μB per formula unit

---

What is the M_tot in the second record?
0.347 μB per formula unit